Th4Co2Au5: relaxed, PBE-GGA.

Unit cell a=3.754 b=7.337 c=9.047 alpha=93.87 beta=90.00 gamma=90.00
Element x y z (fractional)
Th  0.500  0.224  0.419
Th  0.500  0.803  0.156
Au  0.000  0.160  0.131
Au  0.000  0.442  0.659
Th  0.500  0.776  0.581
Co  0.000  0.058  0.641
Au  0.000  0.840  0.869
Au  0.000  0.500  0.000
Co  0.000  0.942  0.359
Au  0.000  0.558  0.341
Th  0.500  0.197  0.844

Space group = No. 10

Th3CoAu: relaxed, PBE-GGA.

Unit cell a=5.714 b=7.221 c=7.065 alpha=90.00 beta=90.00 gamma=117.88
Element x y z (fractional)
Au  0.584  0.306  0.250
Th  0.097  0.305  0.484
Th  0.903  0.695  0.984
Th  0.903  0.695  0.516
Th  0.496  0.142  0.750
Co  0.075  0.974  0.250
Th  0.097  0.305  0.016
Co  0.925  0.026  0.750
Th  0.504  0.858  0.250
Au  0.416  0.694  0.750

ΔE to the lowest computed polymorph = 4.1 kJ per mole of atoms
Space group = No. 11

Th6CoAu3: relaxed, PBE-GGA.

Unit cell a=6.512 b=8.238 c=10.430 alpha=90.00 beta=87.39 gamma=90.00
Element x y z (fractional)
Th  0.650  0.156  0.935
Au  0.581  0.876  0.745
Au  0.081  0.624  0.245
Au  0.500  0.500  0.000
Au  0.919  0.376  0.755
Co  0.000  0.000  0.000
Th  0.850  0.656  0.565
Au  0.000  0.000  0.500
Th  0.350  0.844  0.065
Th  0.885  0.693  0.927
Co  0.500  0.500  0.500
Th  0.662  0.448  0.264
Th  0.338  0.552  0.736
Th  0.150  0.344  0.435
Th  0.385  0.807  0.427
Th  0.162  0.052  0.764
Th  0.838  0.948  0.236
Th  0.115  0.307  0.073
Th  0.615  0.193  0.573
Au  0.419  0.124  0.255

Space group = No. 14

ThCoAu: relaxed, PBE-GGA.

Unit cell a=3.812 b=3.765 c=8.674 alpha=102.53 beta=90.00 gamma=90.00
Site moments in Bohr magnetons follow the coordinates.
Element x y z (fractional)
Au  0.250  0.707  0.414  0.00
Co  0.250  0.544  0.087  0.17
Co  0.750  0.456  0.913  0.17
Th  0.250  0.898  0.797  -0.02
Au  0.750  0.293  0.586  0.00
Th  0.750  0.102  0.203  -0.02

Space group = No. 63

ThCoAu: relaxed, PBE-GGA.

Unit cell a=3.810 b=4.407 c=4.407 alpha=120.00 beta=90.00 gamma=90.00
Site moments in Bohr magnetons follow the coordinates.
Element x y z (fractional)
Co  0.166  0.333  0.667  1.18
Au  0.167  0.000  0.000  0.06
Th  0.667  0.667  0.333  -0.07

Space group = No. 187

Th3Co2Au: relaxed, PBE-GGA.

Unit cell a=3.877 b=7.000 c=10.977 alpha=102.86 beta=90.00 gamma=90.00
Element x y z (fractional)
Th  0.250  0.356  0.360
Th  0.750  0.790  0.015
Au  0.250  0.530  0.832
Co  0.750  0.252  0.509
Th  0.250  0.210  0.985
Th  0.750  0.882  0.349
Th  0.750  0.644  0.640
Co  0.250  0.991  0.173
Th  0.250  0.118  0.651
Au  0.750  0.470  0.168
Co  0.750  0.009  0.827
Co  0.250  0.748  0.491

Space group = No. 11

Th4Co2Au: relaxed, PBE-GGA.

Unit cell a=7.414 b=7.414 c=7.947 alpha=107.53 beta=107.53 gamma=110.75
Element x y z (fractional)
Co  0.130  0.497  0.881
Au  0.000  0.000  0.000
Th  0.271  0.161  0.757
Th  0.411  0.021  0.257
Co  0.616  0.249  0.119
Th  0.856  0.605  0.632
Co  0.499  0.366  0.619
Th  0.765  0.154  0.743
Co  0.747  0.880  0.381
Th  0.474  0.723  0.868
Th  0.404  0.515  0.243
Th  0.855  0.606  0.132
Au  0.250  0.750  0.500
Th  0.973  0.224  0.368

Space group = No. 43

Th2TlCoAu: relaxed, PBE-GGA.

Unit cell a=4.207 b=7.970 c=8.850 alpha=123.31 beta=90.00 gamma=90.00
Element x y z (fractional)
Au  0.250  0.498  0.749
Th  0.250  0.231  0.313
Co  0.250  0.885  0.941
Co  0.750  0.115  0.059
Tl  0.750  0.175  0.589
Th  0.750  0.769  0.687
Th  0.250  0.230  0.918
Th  0.750  0.770  0.082
Tl  0.250  0.825  0.411
Au  0.750  0.502  0.251

Space group = No. 11

TmThCoAu: relaxed, PBE-GGA.

Unit cell a=5.006 b=5.006 c=5.006 alpha=60.00 beta=60.00 gamma=60.00
Element x y z (fractional)
Tm  0.750  0.750  0.750
Au  0.000  0.000  0.000
Th  0.250  0.250  0.250
Co  0.500  0.500  0.500

Space group = No. 216

Th2ZnCoAu: relaxed, PBE-GGA.

Unit cell a=3.934 b=7.949 c=7.764 alpha=113.59 beta=90.00 gamma=90.00
Element x y z (fractional)
Th  0.750  0.719  0.009
Th  0.750  0.885  0.645
Th  0.250  0.115  0.355
Zn  0.750  0.442  0.359
Au  0.250  0.682  0.311
Co  0.250  0.889  0.890
Th  0.250  0.281  0.991
Co  0.750  0.111  0.110
Au  0.750  0.318  0.689
Zn  0.250  0.558  0.641

Space group = No. 11

Ti7Co2Au2: relaxed, PBE-GGA.

Unit cell a=5.870 b=5.854 c=5.870 alpha=90.00 beta=104.83 gamma=90.00
Element x y z (fractional)
Ti  0.000  0.000  0.000
Au  0.187  0.500  0.187
Co  0.286  0.000  0.714
Ti  0.500  0.245  0.000
Ti  0.500  0.241  0.500
Ti  0.500  0.759  0.500
Co  0.714  0.000  0.286
Au  0.813  0.500  0.813
Ti  0.000  0.755  0.500
Ti  0.000  0.245  0.500
Ti  0.500  0.755  0.000

Space group = No. 65

TiCoAu2: relaxed, PBE-GGA.

Unit cell a=7.185 b=7.185 c=5.721 alpha=51.10 beta=51.10 gamma=90.00
Site moments in Bohr magnetons follow the coordinates.
Element x y z (fractional)
Au  0.645  0.125  0.250  0.00
Co  0.750  0.250  0.500  0.04
Co  0.000  0.000  0.000  0.04
Au  0.375  0.355  0.750  0.00
Ti  0.500  0.500  0.000  0.15
Au  0.105  0.625  0.250  0.01
Au  0.875  0.895  0.750  0.00
Ti  0.250  0.750  0.500  0.15

Space group = No. 122

Ti7CoAu2: relaxed, PBE-GGA.

Unit cell a=6.397 b=6.397 c=6.397 alpha=60.00 beta=60.00 gamma=60.00
Site moments in Bohr magnetons follow the coordinates.
Element x y z (fractional)
Ti  0.245  0.245  0.755  0.33
Ti  0.755  0.245  0.245  0.33
Ti  0.245  0.755  0.755  0.33
Ti  0.245  0.755  0.245  0.33
Ti  0.755  0.245  0.755  0.33
Ti  0.755  0.755  0.245  0.33
Au  0.750  0.750  0.750  0.02
Ti  0.500  0.500  0.500  0.53
Co  0.000  0.000  0.000  -0.02
Au  0.250  0.250  0.250  0.02

Space group = No. 225

TiCo4Au: relaxed, PBE-GGA.

Unit cell a=4.771 b=4.771 c=4.771 alpha=60.00 beta=60.00 gamma=60.00
Site moments in Bohr magnetons follow the coordinates.
Element x y z (fractional)
Au  0.000  0.000  0.000  0.01
Ti  0.250  0.250  0.250  -0.68
Co  0.625  0.125  0.625  1.46
Co  0.625  0.625  0.125  1.46
Co  0.125  0.625  0.625  1.46
Co  0.625  0.625  0.625  1.46

Space group = No. 216

TiCo2Au2: relaxed, PBE-GGA.

Unit cell a=3.388 b=3.388 c=7.322 alpha=76.62 beta=76.62 gamma=90.00
Site moments in Bohr magnetons follow the coordinates.
Element x y z (fractional)
Au  0.398  0.398  0.204  0.00
Ti  0.000  0.000  0.000  -0.38
Co  0.750  0.250  0.500  1.80
Au  0.602  0.602  0.796  0.00
Co  0.250  0.750  0.500  1.80

ΔE to the lowest computed polymorph = 11.7 kJ per mole of atoms
Space group = No. 139

TiCo2Au2: relaxed, PBE-GGA.

Unit cell a=6.226 b=6.226 c=3.855 alpha=90.00 beta=90.00 gamma=90.00
Site moments in Bohr magnetons follow the coordinates.
Element x y z (fractional)
Ti  0.500  0.500  0.000  -0.50
Co  0.870  0.630  0.000  0.99
Co  0.630  0.130  0.000  0.97
Ti  0.000  0.000  0.000  -0.50
Au  0.170  0.670  0.500  0.02
Au  0.830  0.330  0.500  0.02
Co  0.130  0.370  0.000  0.99
Au  0.330  0.170  0.500  0.02
Au  0.670  0.830  0.500  0.02
Co  0.370  0.870  0.000  0.97

ΔE to the lowest computed polymorph = 0.0 kJ per mole of atoms
Space group = No. 127

TiCo3Au: relaxed, PBE-GGA.

Unit cell a=4.243 b=4.243 c=4.243 alpha=90.00 beta=90.00 gamma=90.00
Site moments in Bohr magnetons follow the coordinates.
Element x y z (fractional)
Ti  0.000  0.000  0.000  -0.29
Au  0.500  0.500  0.500  0.01
Co  0.000  0.500  0.000  0.69
Co  0.500  0.000  0.000  0.85
Co  0.000  0.000  0.500  0.65

ΔE to the lowest computed polymorph = 0.0 kJ per mole of atoms
Space group = No. 221

TiCo3Au: relaxed, PBE-GGA.

Unit cell a=4.550 b=4.550 c=4.550 alpha=90.00 beta=90.00 gamma=90.00
Site moments in Bohr magnetons follow the coordinates.
Element x y z (fractional)
Co  0.500  0.000  0.000  0.13
Ti  0.500  0.500  0.500  -0.67
Au  0.000  0.000  0.000  -0.10
Co  0.000  0.000  0.500  -0.21
Co  0.000  0.500  0.000  -0.01

ΔE to the lowest computed polymorph = 65.9 kJ per mole of atoms
Space group = No. 221

TiCoAu3: relaxed, PBE-GGA.

Unit cell a=4.940 b=4.940 c=4.940 alpha=90.00 beta=90.00 gamma=90.00
Site moments in Bohr magnetons follow the coordinates.
Element x y z (fractional)
Au  0.500  0.000  0.000  0.09
Ti  0.000  0.000  0.000  0.76
Au  0.000  0.500  0.000  0.03
Au  0.000  0.000  0.500  0.02
Co  0.500  0.500  0.500  2.18

ΔE to the lowest computed polymorph = 23.5 kJ per mole of atoms
Space group = No. 221

TiCoAu3: relaxed, PBE-GGA.

Unit cell a=4.695 b=4.695 c=4.695 alpha=90.00 beta=90.00 gamma=90.00
Element x y z (fractional)
Ti  0.500  0.500  0.500
Au  0.500  0.000  0.000
Au  0.000  0.000  0.500
Co  0.000  0.000  0.000
Au  0.000  0.500  0.000

ΔE to the lowest computed polymorph = 0.0 kJ per mole of atoms
Space group = No. 221

no.,energy of formation from the pure elements (eV per atom)
1,-0.574
2,-0.307
3,-0.339
4,-0.490
5,-0.303
6,-0.319
7,-0.335
8,-0.355
9,-0.374
10,-0.470
11,-0.010
12,0.262
13,0.483
14,-0.149
15,0.117
16,-0.005
17,0.987
18,1.671
19,1.104
20,0.861